Material: LaPaBi2
Method: DFT, PBE
State: optimized geometry

a = 3.916 Å, b = 3.916 Å, c = 7.934 Å
α = 90.00°, β = 90.00°, γ = 90.00°
Fractional positions:
Pa 0.500 0.500 0.000
Bi 0.000 0.000 0.765
Bi 0.000 0.000 0.235
La 0.500 0.500 0.500

Results
Crystal system ... tetragonal
DOS at the Fermi energy ... 1.386 states/eV/atom
Formation energy ... -1.82 eV/f.u.
Symmetry ... No. 123
Spin magnetization ... 1.617 Bohr magnetons per cell